Here is a relaxed CaLaN2 crystal from Alexandria. Energies are from PBE.

Cell and atoms, written as CIF:
```
data_CaLaN2
_cell_length_a 6.815
_cell_length_b 6.815
_cell_length_c 6.815
_cell_angle_alpha 132.86
_cell_angle_beta 132.86
_cell_angle_gamma 68.87
_space_group_name_H-M_alt 'P 1'
_space_group_IT_number 1
loop_
_space_group_symop_operation_xyz
'x,y,z'
loop_
_atom_site_label
_atom_site_fract_x
_atom_site_fract_y
_atom_site_fract_z
_atom_site_occupancy
Ca1 0.000 0.000 0.000 1
Ca2 0.750 0.250 0.500 1
La1 0.250 0.750 0.500 1
La2 0.500 0.500 0.000 1
N1 0.130 0.625 0.005 1
N2 0.375 0.380 0.505 1
N3 0.620 0.125 0.995 1
N4 0.875 0.870 0.495 1
```

Properties
formation energy from raw total energies: -712 meV/atom
Fermi-level density of states: 2.2 states/eV/f.u.
ρ: 4.12 g cm⁻³
space-group type: No. 122